# PBE-GGA K3RbU2Se6, optimized geometry
data_K3RbU2Se6
_cell_length_a 19.782
_cell_length_b 4.324
_cell_length_c 9.448
_cell_angle_alpha 90.00
_cell_angle_beta 104.52
_cell_angle_gamma 90.00
_symmetry_space_group_name_H-M 'C 1 2/m 1'
_symmetry_Int_Tables_number 12
loop_
_symmetry_equiv_pos_as_xyz
'x,y,z'
'-x,-y,-z'
'-x,y,-z'
'x,-y,z'
'x+1/2,y+1/2,z'
'-x+1/2,-y+1/2,-z'
'-x+1/2,y+1/2,-z'
'x+1/2,-y+1/2,z'
loop_
_atom_site_label
_atom_site_fract_x
_atom_site_fract_y
_atom_site_fract_z
K1 0.000 0.000 0.000
K2 0.156 0.500 0.336
Rb1 0.000 0.000 0.500
U1 0.169 0.500 0.838
Se1 0.029 0.500 0.776
Se2 0.177 0.000 0.641
Se3 0.179 0.000 0.053
# Energy relative to the elements, uncorrected ... -28.85 kcal/mol of atoms
# Calculated total energy ... -5.230 eV per atom

# PBE-GGA Sm5Tl3, optimized geometry
data_Sm5Tl3
_cell_length_a 12.484
_cell_length_b 12.484
_cell_length_c 6.208
_cell_angle_alpha 90.00
_cell_angle_beta 90.00
_cell_angle_gamma 90.00
_symmetry_space_group_name_H-M 'I 4/m c m'
_symmetry_Int_Tables_number 140
_symmetry_space_group_name_Hall '-I 4 2c'
loop_
_atom_site_label
_atom_site_fract_x
_atom_site_fract_y
_atom_site_fract_z
Sm1 0.000 0.500 0.250
Sm2 0.084 0.219 0.000
Tl1 0.000 0.000 0.250
Tl2 0.161 0.339 0.500
# Relative energy among the computed polymorphs ... 0 meV per atom
# Calculated total energy ... -4.152 eV per atom
# ΔH_f (0 K) ... -0.315 eV/atom